A) {
  "formula": "CuAsH2",
  "functional": "GGA-PBEsol",
  "state": "optimized geometry",
  "magmom_total_mub_per_fu": 0.00,
  "spacegroup": "Fm-3m, No. 225",
  "lattice_angstrom": [[0.0000, 2.6203, 2.6203], [2.6203, 0.0000, 2.6203], [2.6203, 2.6203, 0.0000]],
  "species": ["Cu", "As", "H", "H"],
  "frac_coords": [[0.0000, 0.0000, 0.0000], [0.5000, 0.5000, 0.5000], [0.2500, 0.2500, 0.2500], [0.7500, 0.7500, 0.7500]]
}

***

B) {
  "formula": "CuAsH2",
  "functional": "GGA-PBEsol",
  "state": "optimized geometry",
  "magmom_total_mub_per_fu": 0.00,
  "spacegroup": "I-42d, No. 122",
  "lattice_angstrom": [[-2.3176, 2.3176, 3.7032], [2.3176, -2.3176, 3.7032], [2.3176, 2.3176, -3.7032]],
  "species": ["Cu", "Cu", "As", "As", "H", "H", "H", "H"],
  "frac_coords": [[0.0000, 0.0000, 0.0000], [0.7500, 0.2500, 0.5000], [0.2500, 0.7500, 0.5000], [0.5000, 0.5000, 0.0000], [0.0229, 0.6250, 0.8979], [0.3750, 0.2729, 0.3979], [0.7271, 0.1250, 0.1021], [0.8750, 0.9771, 0.6021]]
}

***

Verdict on stability: B) comes out on top.

***

A) {
  "formula": "CuAsIr",
  "functional": "GGA-PBEsol",
  "state": "optimized geometry",
  "magmom_total_mub_per_fu": 0.00,
  "spacegroup": "P-6m2, No. 187",
  "lattice_angstrom": [[4.1515, 0.0000, 0.0000], [-2.0757, 3.5953, 0.0000], [0.0000, 0.0000, 2.8851]],
  "species": ["Cu", "As", "Ir"],
  "frac_coords": [[0.0000, 0.0000, 0.0000], [0.3333, 0.6667, 0.5000], [0.6667, 0.3333, 0.5000]]
}

***

B) {
  "formula": "CuAsIr",
  "functional": "GGA-PBEsol",
  "state": "optimized geometry",
  "magmom_total_mub_per_fu": 0.00,
  "spacegroup": "F-43m, No. 216",
  "lattice_angstrom": [[0.0000, 2.8809, 2.8809], [2.8809, 0.0000, 2.8809], [2.8809, 2.8809, 0.0000]],
  "species": ["Cu", "As", "Ir"],
  "frac_coords": [[0.0000, 0.0000, 0.0000], [0.5000, 0.5000, 0.5000], [0.2500, 0.2500, 0.2500]]
}

***

Verdict on stability: B) comes out on top.

***

A) {
  "formula": "Tl2CuAsO4",
  "functional": "GGA-PBEsol",
  "state": "optimized geometry",
  "magmom_total_mub_per_fu": 0.00,
  "spacegroup": "P2_1/c, No. 14",
  "lattice_angstrom": [[8.5698, 0.0000, 0.0000], [0.0000, 5.4451, 0.0000], [-1.2181, 0.0000, 11.3374]],
  "species": ["Tl", "Tl", "Tl", "Tl", "Tl", "Tl", "Tl", "Tl", "Cu", "Cu", "Cu", "Cu", "As", "As", "As", "As", "O", "O", "O", "O", "O", "O", "O", "O", "O", "O", "O", "O", "O", "O", "O", "O"],
  "frac_coords": [[0.0036, 0.2258, 0.3875], [0.0036, 0.2742, 0.8875], [0.3056, 0.2380, 0.6315], [0.3056, 0.2620, 0.1315], [0.6944, 0.7380, 0.8685], [0.6944, 0.7620, 0.3685], [0.9964, 0.7258, 0.1125], [0.9964, 0.7742, 0.6125], [0.4897, 0.1852, 0.4075], [0.4897, 0.3148, 0.9075], [0.5103, 0.6852, 0.0925], [0.5103, 0.8148, 0.5925], [0.2862, 0.7328, 0.3752], [0.2862, 0.7672, 0.8752], [0.7138, 0.2328, 0.1248], [0.7138, 0.2672, 0.6248], [0.0977, 0.6483, 0.3273], [0.0977, 0.8517, 0.8273], [0.2994, 0.0462, 0.3449], [0.2994, 0.4538, 0.8449], [0.3164, 0.6942, 0.5273], [0.3164, 0.8058, 0.0273], [0.4231, 0.5676, 0.3094], [0.4231, 0.9324, 0.8094], [0.5769, 0.0676, 0.1906], [0.5769, 0.4324, 0.6906], [0.6836, 0.1942, 0.9727], [0.6836, 0.3058, 0.4727], [0.7006, 0.5462, 0.1551], [0.7006, 0.9538, 0.6551], [0.9023, 0.1483, 0.1727], [0.9023, 0.3517, 0.6727]]
}

***

B) {
  "formula": "Tl2CuAsO4",
  "functional": "GGA-PBEsol",
  "state": "optimized geometry",
  "magmom_total_mub_per_fu": 0.00,
  "spacegroup": "P2_1, No. 4",
  "lattice_angstrom": [[5.5726, 0.0000, 0.0000], [0.0000, 5.4811, 0.0000], [-0.7757, 0.0000, 8.6358]],
  "species": ["Tl", "Tl", "Tl", "Tl", "Cu", "Cu", "As", "As", "O", "O", "O", "O", "O", "O", "O", "O"],
  "frac_coords": [[0.2282, 0.0000, 0.4957], [0.2354, 0.5201, 0.8095], [0.7646, 0.0201, 0.1905], [0.7718, 0.5000, 0.5043], [0.2124, 0.9661, 0.0101], [0.7876, 0.4661, 0.9899], [0.2490, 0.5260, 0.2157], [0.7510, 0.0260, 0.7843], [0.0646, 0.0264, 0.8120], [0.3326, 0.8317, 0.2008], [0.3336, 0.4408, 0.4026], [0.3761, 0.3481, 0.0820], [0.6239, 0.8481, 0.9180], [0.6664, 0.9408, 0.5974], [0.6674, 0.3317, 0.7992], [0.9354, 0.5264, 0.1880]]
}

***

Verdict on stability: A) comes out on top.

***

A) {
  "formula": "Cu2AsP",
  "functional": "GGA-PBEsol",
  "state": "optimized geometry",
  "magmom_total_mub_per_fu": 0.00,
  "spacegroup": "Immm, No. 71",
  "lattice_angstrom": [[-1.8860, 2.0616, 3.5561], [1.8860, -2.0616, 3.5561], [1.8860, 2.0616, -3.5561]],
  "species": ["Cu", "Cu", "As", "P"],
  "frac_coords": [[0.2446, 0.2446, 0.0000], [0.7554, 0.7554, 0.0000], [0.5000, 0.0000, 0.5000], [0.0000, 0.5000, 0.5000]]
}

***

B) {
  "formula": "Cu2AsP",
  "functional": "GGA-PBEsol",
  "state": "optimized geometry",
  "magmom_total_mub_per_fu": 0.00,
  "spacegroup": "F-43m, No. 216",
  "lattice_angstrom": [[0.0000, 3.0509, 3.0509], [3.0509, 0.0000, 3.0509], [3.0509, 3.0509, 0.0000]],
  "species": ["Cu", "Cu", "As", "P"],
  "frac_coords": [[0.0000, 0.0000, 0.0000], [0.2500, 0.2500, 0.2500], [0.7500, 0.7500, 0.7500], [0.5000, 0.5000, 0.5000]]
}

***

Verdict on stability: A) comes out on top.

***

A) {
  "formula": "CuReAs2",
  "functional": "GGA-PBEsol",
  "state": "optimized geometry",
  "magmom_total_mub_per_fu": 0.00,
  "spacegroup": "Immm, No. 71",
  "lattice_angstrom": [[-1.7632, 2.2459, 3.6711], [1.7632, -2.2459, 3.6711], [1.7632, 2.2459, -3.6711]],
  "species": ["Cu", "Re", "As", "As"],
  "frac_coords": [[0.0000, 0.0000, 0.0000], [0.5000, 0.5000, 0.0000], [0.2261, 0.7261, 0.5000], [0.7739, 0.2739, 0.5000]]
}

***

B) {
  "formula": "CuReAs2",
  "functional": "GGA-PBEsol",
  "state": "optimized geometry",
  "magmom_total_mub_per_fu": 0.00,
  "spacegroup": "Cmm2, No. 35",
  "lattice_angstrom": [[1.4648, -2.3423, 0.0000], [1.4648, 2.3423, 0.0000], [0.0000, 0.0000, 9.4172]],
  "species": ["Cu", "Re", "As", "As"],
  "frac_coords": [[0.0000, 0.0000, 0.0000], [0.5000, 0.5000, 0.7729], [0.0000, 0.0000, 0.5500], [0.5000, 0.5000, 0.2132]]
}

***

Verdict on stability: A) comes out on top.

***

A) {
  "formula": "CuAs2Rh",
  "functional": "GGA-PBEsol",
  "state": "optimized geometry",
  "magmom_total_mub_per_fu": 0.00,
  "spacegroup": "P2/m, No. 10",
  "lattice_angstrom": [[3.1422, 0.0000, 0.0000], [0.0000, 3.1347, 0.0000], [-0.0072, 0.0000, 5.9910]],
  "species": ["Cu", "As", "As", "Rh"],
  "frac_coords": [[0.0000, 0.0000, 0.0000], [0.4992, 0.5000, 0.2568], [0.5008, 0.5000, 0.7432], [0.0000, 0.0000, 0.5000]]
}

***

B) {
  "formula": "CuAs2Rh",
  "functional": "GGA-PBEsol",
  "state": "optimized geometry",
  "magmom_total_mub_per_fu": 0.00,
  "spacegroup": "R-3m, No. 166",
  "lattice_angstrom": [[1.5208, 0.8780, 7.4385], [-1.5208, 0.8780, 7.4385], [0.0000, -1.7560, 7.4385]],
  "species": ["Cu", "As", "As", "Rh"],
  "frac_coords": [[0.0000, 0.0000, 0.0000], [0.2496, 0.2496, 0.2496], [0.7504, 0.7504, 0.7504], [0.5000, 0.5000, 0.5000]]
}

***

Verdict on stability: B) comes out on top.

***

A) {
  "formula": "CuSbAs",
  "functional": "GGA-PBEsol",
  "state": "optimized geometry",
  "magmom_total_mub_per_fu": 0.00,
  "spacegroup": "F-43m, No. 216",
  "lattice_angstrom": [[0.0000, 3.2098, 3.2098], [3.2098, 0.0000, 3.2098], [3.2098, 3.2098, 0.0000]],
  "species": ["Cu", "Sb", "As"],
  "frac_coords": [[0.0000, 0.0000, 0.0000], [0.5000, 0.5000, 0.5000], [0.7500, 0.7500, 0.7500]]
}

***

B) {
  "formula": "CuSbAs",
  "functional": "GGA-PBEsol",
  "state": "optimized geometry",
  "magmom_total_mub_per_fu": 0.00,
  "spacegroup": "I4mm, No. 107",
  "lattice_angstrom": [[-1.6351, 1.6351, 5.4936], [1.6351, -1.6351, 5.4936], [1.6351, 1.6351, -5.4936]],
  "species": ["Cu", "Sb", "As"],
  "frac_coords": [[0.0000, 0.0000, 0.0000], [0.6663, 0.6663, 0.0000], [0.4098, 0.4098, 0.0000]]
}

***

Verdict on stability: B) comes out on top.

***

A) {
  "formula": "CuSiAs2",
  "functional": "GGA-PBEsol",
  "state": "optimized geometry",
  "magmom_total_mub_per_fu": 0.00,
  "spacegroup": "I-42d, No. 122",
  "lattice_angstrom": [[-2.7526, 2.7526, 5.3180], [2.7526, -2.7526, 5.3180], [2.7526, 2.7526, -5.3180]],
  "species": ["Cu", "Cu", "Si", "Si", "As", "As", "As", "As"],
  "frac_coords": [[0.0000, 0.0000, 0.0000], [0.7500, 0.2500, 0.5000], [0.2500, 0.7500, 0.5000], [0.5000, 0.5000, 0.0000], [0.1184, 0.6250, 0.9934], [0.3750, 0.3684, 0.4934], [0.6316, 0.1250, 0.0066], [0.8750, 0.8816, 0.5066]]
}

***

B) {
  "formula": "CuSiAs2",
  "functional": "GGA-PBEsol",
  "state": "optimized geometry",
  "magmom_total_mub_per_fu": 0.00,
  "spacegroup": "Fm-3m, No. 225",
  "lattice_angstrom": [[0.0000, 3.1505, 3.1505], [3.1505, 0.0000, 3.1505], [3.1505, 3.1505, 0.0000]],
  "species": ["Cu", "Si", "As", "As"],
  "frac_coords": [[0.0000, 0.0000, 0.0000], [0.5000, 0.5000, 0.5000], [0.2500, 0.2500, 0.2500], [0.7500, 0.7500, 0.7500]]
}

***

Verdict on stability: A) comes out on top.